# SrGaAsPd2 (PBE, relaxed)
# DFT total energy in eV per atom: -4.68
data_SrGaAsPd2
_cell_length_a 4.575
_cell_length_b 4.575
_cell_length_c 9.846
_cell_angle_alpha 90.00
_cell_angle_beta 90.00
_cell_angle_gamma 90.00
_space_group_name_H-M_alt 'P 1'
_space_group_IT_number 1
loop_
_space_group_symop_operation_xyz
'x,y,z'
loop_
_atom_site_label
_atom_site_type_symbol
_atom_site_fract_x
_atom_site_fract_y
_atom_site_fract_z
_atom_site_occupancy
As1 As 0.000 0.000 0.500 1
As2 As 0.500 0.500 0.500 1
Ga1 Ga 0.500 0.000 0.118 1
Ga2 Ga 0.000 0.500 0.882 1
Pd1 Pd 0.000 0.000 0.000 1
Pd2 Pd 0.500 0.500 0.000 1
Pd3 Pd 0.500 0.000 0.379 1
Pd4 Pd 0.000 0.500 0.621 1
Sr1 Sr 0.000 0.500 0.255 1
Sr2 Sr 0.500 0.000 0.745 1